Record 1
Computed, not measured: a relaxed TaSiHg2 crystal at the PBE level of DFT.

- Total magnetic moment: 0.00 μB per formula unit
- Total energy: -3.95 eV per atom
- ρ: 13.398 g/cm³
- Formation energy (no corrections): 0.516 eV/atom

Cell: 5.377 5.377 5.377 Å, 135.37 135.37 64.96°
Fractional coordinates of all 4 atoms:
Hg1 0.000 0.000 0.000
Hg2 0.250 0.750 0.500
Si1 0.500 0.500 0.000
Ta1 0.750 0.250 0.500

Record 2
Computed, not measured: a relaxed PmNd5Y crystal at the PBE level of DFT.

- Total magnetic moment: 0.00 μB per formula unit
- Total energy: -4.86 eV per atom
- ρ: 6.377 g/cm³
- Energy relative to the elements: 0.152 eV/atom

Cell: 9.658 9.658 13.560 Å, 41.59 41.59 40.71°
Fractional coordinates of all 14 atoms:
Pm1 0.000 0.000 0.000
Pm2 0.000 0.000 0.500
Nd1 0.669 0.666 0.251
Nd2 0.254 0.253 0.589
Nd3 0.666 0.669 0.751
Nd4 0.240 0.760 0.250
Nd5 0.747 0.746 0.911
Nd6 0.253 0.254 0.089
Nd7 0.760 0.240 0.750
Nd8 0.334 0.331 0.249
Nd9 0.746 0.747 0.411
Nd10 0.331 0.334 0.749
Y1 0.762 0.238 0.250
Y2 0.238 0.762 0.750

Record 3
Computed, not measured: a relaxed Ba2H3Br crystal at the PBE level of DFT.

- Total magnetic moment: 0.00 μB per formula unit
- Total energy: -3.52 eV per atom
- ρ: 4.461 g/cm³

Cell: 4.335 8.923 10.855 Å, 100.99 90.00 104.06°
Fractional coordinates of all 18 atoms:
Ba1 0.190 0.381 0.140
Ba2 0.810 0.619 0.860
Ba3 0.467 0.935 0.217
Ba4 0.533 0.065 0.783
Ba5 0.356 0.712 0.544
Ba6 0.644 0.288 0.456
H1 0.051 0.102 0.316
H2 0.949 0.898 0.684
H3 0.216 0.433 0.397
H4 0.784 0.567 0.603
H5 0.621 0.242 0.212
H6 0.379 0.758 0.788
H7 0.500 0.000 0.500
H8 0.327 0.654 0.033
H9 0.673 0.346 0.967
Br1 0.164 0.328 0.708
Br2 0.836 0.672 0.292
Br3 0.000 0.000 0.000

Record 4
Computed, not measured: a relaxed Sc3Tl2Au2 crystal at the PBE level of DFT.

- Total magnetic moment: 0.54 μB per formula unit
- Total energy: -4.78 eV per atom
- ρ: 10.156 g/cm³
- Energy relative to the elements: -0.454 eV/atom

Cell: 4.309 3.278 11.065 Å, 90.00 78.77 90.00°
Fractional coordinates of all 7 atoms:
Sc1 0.836 0.000 0.328
Sc2 0.000 0.000 0.000
Sc3 0.164 0.000 0.672
Tl1 0.577 0.500 0.845
Tl2 0.423 0.500 0.155
Au1 0.711 0.500 0.578
Au2 0.289 0.500 0.422